## A
5
Lattice="4.5429 0.0000 0.0000 0.0000 4.5429 0.0000 0.0000 0.0000 4.5429" Properties=species:S:1:pos:R:3 comment="GeRuW3 PBE optimized geometry" m_tot_mub_per_fu=0.00 dos_at_fermi_per_ev_atom=1.178 space_group="Pm-3m, No. 221" mass_density_g_cm3=12.84 pbc="T T T"
Ge 0.0000 0.0000 0.0000
Ru 2.2715 2.2715 2.2715
W 0.0000 0.0000 2.2715
W 0.0000 2.2715 0.0000
W 2.2715 0.0000 0.0000



## B
5
Lattice="4.7705 0.0000 0.0000 0.0000 4.7705 0.0000 0.0000 0.0000 4.7705" Properties=species:S:1:pos:R:3 comment="GeRuW3 PBE optimized geometry" m_tot_mub_per_fu=0.85 dos_at_fermi_per_ev_atom=1.405 space_group="Pm-3m, No. 221" mass_density_g_cm3=11.09 pbc="T T T"
Ge 0.0000 0.0000 0.0000
Ru 2.3852 2.3852 2.3852
W 0.0000 2.3852 2.3852
W 2.3852 0.0000 2.3852
W 2.3852 2.3852 0.0000



Most stable one: A, least stable one: B.



## A
5
Lattice="-2.0130 2.8965 4.3406 2.0130 -2.8965 4.3406 2.0130 2.8965 -4.3406" Properties=species:S:1:pos:R:3 comment="Y2GeRu2 PBE optimized geometry" m_tot_mub_per_fu=0.00 dos_at_fermi_per_ev_atom=0.803 space_group="Immm, No. 71" mass_density_g_cm3=7.42 pbc="T T T"
Y 0.0000 0.0000 1.8064
Y 0.0000 0.0000 6.8748
Ge 0.0000 2.8965 0.0000
Ru 2.0130 1.3041 0.0000
Ru 0.0000 1.5924 4.3406



## B
10
Lattice="6.6784 0.0000 0.0000 0.0000 6.6784 0.0000 0.0000 0.0000 4.4653" Properties=species:S:1:pos:R:3 comment="Y2GeRu2 PBE optimized geometry" m_tot_mub_per_fu=0.00 dos_at_fermi_per_ev_atom=0.368 space_group="P4/mbm, No. 127" mass_density_g_cm3=7.55 pbc="T T T"
Y 1.1868 2.1524 0.0000
Y 2.1524 5.4916 0.0000
Y 4.5260 1.1868 0.0000
Y 5.4916 4.5260 0.0000
Ge 0.0000 0.0000 2.2327
Ge 3.3392 3.3392 2.2327
Ru 0.9057 4.2449 2.2327
Ru 2.4335 0.9057 2.2327
Ru 4.2449 5.7727 2.2327
Ru 5.7727 2.4335 2.2327



Most stable one: A, least stable one: B.



## A
5
Lattice="4.7410 0.0000 0.0000 0.0000 4.7410 0.0000 0.0000 0.0000 4.7410" Properties=species:S:1:pos:R:3 comment="ZnGe3Ru PBE optimized geometry" m_tot_mub_per_fu=1.72 dos_at_fermi_per_ev_atom=1.271 space_group="Pm-3m, No. 221" mass_density_g_cm3=5.99 pbc="T T T"
Zn 0.0000 0.0000 0.0000
Ge 0.0000 0.0000 2.3705
Ge 0.0000 2.3705 0.0000
Ge 2.3705 0.0000 0.0000
Ru 2.3705 2.3705 2.3705



## B
5
Lattice="4.8039 0.0000 0.0000 0.0000 4.8039 0.0000 0.0000 0.0000 4.8039" Properties=species:S:1:pos:R:3 comment="ZnGe3Ru PBE optimized geometry" m_tot_mub_per_fu=0.00 dos_at_fermi_per_ev_atom=1.132 space_group="Pm-3m, No. 221" mass_density_g_cm3=5.76 pbc="T T T"
Zn 0.0000 0.0000 0.0000
Ge 0.0000 2.4020 2.4020
Ge 2.4020 0.0000 2.4020
Ge 2.4020 2.4020 0.0000
Ru 2.4020 2.4020 2.4020



Most stable one: B, least stable one: A.



## A
5
Lattice="4.6374 0.0000 0.0000 0.0000 4.6374 0.0000 0.0000 0.0000 4.6374" Properties=species:S:1:pos:R:3 comment="Zn3GeRu PBE optimized geometry" m_tot_mub_per_fu=1.95 dos_at_fermi_per_ev_atom=0.810 space_group="Pm-3m, No. 221" mass_density_g_cm3=6.16 pbc="T T T"
Zn 0.0000 0.0000 2.3187
Zn 0.0000 2.3187 0.0000
Zn 2.3187 0.0000 0.0000
Ge 0.0000 0.0000 0.0000
Ru 2.3187 2.3187 2.3187



## B
5
Lattice="4.7530 0.0000 0.0000 0.0000 4.7530 0.0000 0.0000 0.0000 4.7530" Properties=species:S:1:pos:R:3 comment="Zn3GeRu PBE optimized geometry" m_tot_mub_per_fu=0.00 dos_at_fermi_per_ev_atom=0.499 space_group="Pm-3m, No. 221" mass_density_g_cm3=5.72 pbc="T T T"
Zn 0.0000 0.0000 2.3765
Zn 0.0000 2.3765 0.0000
Zn 2.3765 0.0000 0.0000
Ge 2.3765 2.3765 2.3765
Ru 0.0000 0.0000 0.0000



Most stable one: B, least stable one: A.



## A
5
Lattice="4.8086 0.0000 0.0000 0.0000 4.8086 0.0000 0.0000 0.0000 4.8086" Properties=species:S:1:pos:R:3 comment="ZrGeRu3 PBE optimized geometry" m_tot_mub_per_fu=2.22 dos_at_fermi_per_ev_atom=1.438 space_group="Pm-3m, No. 221" mass_density_g_cm3=6.98 pbc="T T T"
Zr 0.0000 0.0000 0.0000
Ge 2.4043 2.4043 2.4043
Ru 0.0000 0.0000 2.4043
Ru 0.0000 2.4043 0.0000
Ru 2.4043 0.0000 0.0000



## B
5
Lattice="4.5181 0.0000 0.0000 0.0000 4.5181 0.0000 0.0000 0.0000 4.5181" Properties=species:S:1:pos:R:3 comment="ZrGeRu3 PBE optimized geometry" m_tot_mub_per_fu=0.00 dos_at_fermi_per_ev_atom=0.609 space_group="Pm-3m, No. 221" mass_density_g_cm3=8.41 pbc="T T T"
Zr 0.0000 0.0000 0.0000
Ge 2.2591 2.2591 2.2591
Ru 0.0000 2.2591 2.2591
Ru 2.2591 0.0000 2.2591
Ru 2.2591 2.2591 0.0000



Most stable one: B, least stable one: A.



## A
5
Lattice="5.0671 0.0000 0.0000 0.0000 5.0671 0.0000 0.0000 0.0000 5.0671" Properties=species:S:1:pos:R:3 comment="Zr3GeRu PBE optimized geometry" m_tot_mub_per_fu=0.00 dos_at_fermi_per_ev_atom=1.815 space_group="Pm-3m, No. 221" mass_density_g_cm3=5.71 pbc="T T T"
Zr 0.0000 0.0000 2.5335
Zr 0.0000 2.5335 0.0000
Zr 2.5335 0.0000 0.0000
Ge 2.5335 2.5335 2.5335
Ru 0.0000 0.0000 0.0000



## B
5
Lattice="4.9491 0.0000 0.0000 0.0000 4.9491 0.0000 0.0000 0.0000 4.9491" Properties=species:S:1:pos:R:3 comment="Zr3GeRu PBE optimized geometry" m_tot_mub_per_fu=0.00 dos_at_fermi_per_ev_atom=2.434 space_group="Pm-3m, No. 221" mass_density_g_cm3=6.13 pbc="T T T"
Zr 0.0000 0.0000 2.4746
Zr 0.0000 2.4746 0.0000
Zr 2.4746 0.0000 0.0000
Ge 0.0000 0.0000 0.0000
Ru 2.4746 2.4746 2.4746



Most stable one: A, least stable one: B.



## A
10
Lattice="9.7300 -1.7464 0.0000 9.7300 1.7464 0.0000 -3.2012 0.0000 7.3442" Properties=species:S:1:pos:R:3 comment="Ge2S3 PBE optimized geometry" m_tot_mub_per_fu=0.00 dos_at_fermi_per_ev_atom=0.248 space_group="C2/m, No. 12" mass_density_g_cm3=3.21 pbc="T T T"
Ge -0.1820 0.0000 1.2212
Ge 6.2978 0.0000 0.1031
Ge 9.9610 0.0000 7.2411
Ge 16.4408 0.0000 6.1230
S -0.8649 0.0000 5.5923
S 4.3145 0.0000 1.4105
S 5.5489 0.0000 5.2414
S 10.7099 0.0000 2.1028
S 11.9444 0.0000 5.9338
S 17.1238 0.0000 1.7519



## B
10
Lattice="3.1527 1.8202 5.8829 -3.1527 1.8202 5.8829 0.0000 -3.6405 5.8829" Properties=species:S:1:pos:R:3 comment="Ge2S3 PBE optimized geometry" m_tot_mub_per_fu=0.00 dos_at_fermi_per_ev_atom=0.607 space_group="R-3c, No. 167" mass_density_g_cm3=3.96 pbc="T T T"
Ge 0.0000 0.0000 2.7169
Ge 0.0000 0.0000 6.1075
Ge 0.0000 0.0000 11.5412
Ge 0.0000 0.0000 14.9318
S -2.1570 -0.0955 7.3536
S -0.9958 -1.9158 10.2951
S 1.1612 -1.8202 7.3536
S -1.1612 1.8202 10.2951
S 0.9958 1.9158 7.3536
S 2.1570 0.0955 10.2951



Most stable one: A, least stable one: B.



## A
4
Lattice="2.1865 1.2624 7.3471 -2.1865 1.2624 7.3471 0.0000 -2.5248 7.3471" Properties=species:S:1:pos:R:3 comment="Ge2SbS PBE optimized geometry" m_tot_mub_per_fu=0.00 dos_at_fermi_per_ev_atom=0.400 space_group="R-3m, No. 166" mass_density_g_cm3=4.08 pbc="T T T"
Ge 0.0000 0.0000 2.2555
Ge 0.0000 0.0000 19.7857
Sb 0.0000 0.0000 11.0206
S 0.0000 0.0000 0.0000



## B
4
Lattice="0.0000 3.4618 3.4618 3.4618 0.0000 3.4618 3.4618 3.4618 0.0000" Properties=species:S:1:pos:R:3 comment="Ge2SbS PBE optimized geometry" m_tot_mub_per_fu=0.00 dos_at_fermi_per_ev_atom=0.785 space_group="Fm-3m, No. 225" mass_density_g_cm3=5.99 pbc="T T T"
Ge 1.7309 1.7309 1.7309
Ge 5.1926 5.1926 5.1926
Sb 0.0000 0.0000 0.0000
S 3.4618 3.4618 3.4618



Most stable one: A, least stable one: B.



## A
10
Lattice="7.6894 0.0000 0.0000 0.0000 7.6894 0.0000 0.0000 0.0000 3.6603" Properties=species:S:1:pos:R:3 comment="Ge2SeS2 PBE optimized geometry" m_tot_mub_per_fu=0.00 dos_at_fermi_per_ev_atom=0.092 space_group="P4/mbm, No. 127" mass_density_g_cm3=4.43 pbc="T T T"
Ge 1.4035 2.4412 0.0000
Ge 2.4412 6.2859 0.0000
Ge 5.2482 1.4035 0.0000
Ge 6.2859 5.2482 0.0000
Se 0.0000 0.0000 1.8302
Se 3.8447 3.8447 1.8302
S 1.2951 5.1398 1.8302
S 2.5496 1.2951 1.8302
S 5.1398 6.3943 1.8302
S 6.3943 2.5496 1.8302



## B
10
Lattice="-3.9852 3.9852 4.2017 3.9852 -3.9852 4.2017 3.9852 3.9852 -4.2017" Properties=species:S:1:pos:R:3 comment="Ge2SeS2 PBE optimized geometry" m_tot_mub_per_fu=0.00 space_group="I4_1md, No. 109" mass_density_g_cm3=3.59 pbc="T T T"
Ge 0.0000 2.4310 0.0000
Ge 0.0000 5.5393 0.0000
Ge 2.4310 3.9852 2.1009
Ge 1.5542 0.0000 6.3026
Se 0.0000 0.0000 0.6482
Se 0.0000 3.9852 2.7491
S 1.8039 3.9852 -0.3149
S 2.1812 0.0000 3.8868
S 3.9852 2.1812 1.7859
S 0.0000 1.8039 5.9876



## C
5
Lattice="-2.5972 2.5972 4.1099 2.5972 -2.5972 4.1099 2.5972 2.5972 -4.1099" Properties=species:S:1:pos:R:3 comment="Ge2SeS2 PBE optimized geometry" m_tot_mub_per_fu=0.00 dos_at_fermi_per_ev_atom=0.039 space_group="I4/mmm, No. 139" mass_density_g_cm3=4.32 pbc="T T T"
Ge 2.5972 0.0000 2.0550
Ge 0.0000 2.5972 2.0550
Se 0.0000 0.0000 0.0000
S 0.0000 0.0000 2.5435
S 0.0000 0.0000 5.6763



Most stable one: B, least stable one: A.



## A
5
Lattice="5.1654 0.0000 0.0000 0.0000 5.1654 0.0000 0.0000 0.0000 5.1654" Properties=species:S:1:pos:R:3 comment="Ge3SeS PBE optimized geometry" m_tot_mub_per_fu=0.00 dos_at_fermi_per_ev_atom=0.624 space_group="Pm-3m, No. 221" mass_density_g_cm3=3.96 pbc="T T T"
Ge 0.0000 0.0000 2.5827
Ge 0.0000 2.5827 0.0000
Ge 2.5827 0.0000 0.0000
Se 0.0000 0.0000 0.0000
S 2.5827 2.5827 2.5827



## B
5
Lattice="4.9851 0.0000 0.0000 0.0000 4.9851 0.0000 0.0000 0.0000 4.9851" Properties=species:S:1:pos:R:3 comment="Ge3SeS PBE optimized geometry" m_tot_mub_per_fu=0.00 dos_at_fermi_per_ev_atom=0.522 space_group="Pm-3m, No. 221" mass_density_g_cm3=4.41 pbc="T T T"
Ge 0.0000 0.0000 2.4926
Ge 0.0000 2.4926 0.0000
Ge 2.4926 0.0000 0.0000
Se 2.4926 2.4926 2.4926
S 0.0000 0.0000 0.0000



Most stable one: B, least stable one: A.



## A
8
Lattice="-2.7174 2.7174 6.3588 2.7174 -2.7174 6.3588 2.7174 2.7174 -6.3588" Properties=species:S:1:pos:R:3 comment="SiGe2S PBE optimized geometry" m_tot_mub_per_fu=0.00 dos_at_fermi_per_ev_atom=0.764 space_group="I-42d, No. 122" mass_density_g_cm3=3.63 pbc="T T T"
Si 0.0000 0.0000 0.0000
Si 0.0000 2.7174 3.1794
Ge 4.0762 1.3140 -1.5897
Ge 1.3140 1.3587 1.5897
Ge -1.3587 1.4035 4.7691
Ge 1.4035 1.3587 7.9485
S 2.7174 0.0000 3.1794
S 0.0000 0.0000 6.3588



## B
4
Lattice="0.0000 3.2682 3.2682 3.2682 0.0000 3.2682 3.2682 3.2682 0.0000" Properties=species:S:1:pos:R:3 comment="SiGe2S PBE optimized geometry" m_tot_mub_per_fu=0.00 dos_at_fermi_per_ev_atom=0.552 space_group="Fm-3m, No. 225" mass_density_g_cm3=4.89 pbc="T T T"
Si 0.0000 0.0000 0.0000
Ge 1.6341 1.6341 1.6341
Ge 4.9023 4.9023 4.9023
S 3.2682 3.2682 3.2682



Most stable one: A, least stable one: B.



## A
6
Lattice="-1.9282 1.9282 9.0191 1.9282 -1.9282 9.0191 1.9282 1.9282 -9.0191" Properties=species:S:1:pos:R:3 comment="SmGeS PBE optimized geometry" m_tot_mub_per_fu=0.00 dos_at_fermi_per_ev_atom=0.366 space_group="I4/mmm, No. 139" mass_density_g_cm3=6.32 pbc="T T T"
Sm 0.0000 0.0000 2.6965
Sm 0.0000 0.0000 15.3416
Ge 1.9282 0.0000 0.0000
Ge 0.0000 1.9282 0.0000
S 0.0000 0.0000 5.6232
S 0.0000 0.0000 12.4149



## B
6
Lattice="2.4055 -7.0599 0.0000 2.4055 7.0599 0.0000 0.0000 0.0000 4.3378" Properties=species:S:1:pos:R:3 comment="SmGeS PBE optimized geometry" m_tot_mub_per_fu=0.00 dos_at_fermi_per_ev_atom=0.269 space_group="Cmcm, No. 63" mass_density_g_cm3=5.75 pbc="T T T"
Sm 2.4055 5.0309 3.2533
Sm 2.4055 -5.0309 1.0844
Ge 2.4055 0.6715 3.2533
Ge 2.4055 -0.6715 1.0844
S 2.4055 3.3922 1.0844
S 2.4055 -3.3922 3.2533



Most stable one: A, least stable one: B.